The following is a DFT calculation (GGA-PBE) of a relaxed structure of LaTb2Nd4Tm2.

Cell: 5.113 8.095 8.089 Å, 107.25 90.00 108.41°
Atoms (fractional coordinates):
Nd: 0.223 0.446 0.330
Nd: 0.555 0.110 0.333
Nd: 0.445 0.890 0.667
Nd: 0.777 0.554 0.670
La: 0.000 0.000 0.000
Tm: 0.331 0.662 0.002
Tm: 0.669 0.338 0.998
Tb: 0.888 0.777 0.333
Tb: 0.112 0.223 0.667

Summary:
Size of the total moment, μB/cell: 0.00
D(E_F), states/eV per cell: 13.59
Total DFT energy (no corrections), eV/atom: -4.6663
Symmetry: C2/m

The following is a DFT calculation (GGA-PBE) of a relaxed structure of La2TbNd5Tm.

Cell: 5.744 10.591 10.846 Å, 90.00 90.00 105.73°
Atoms (fractional coordinates):
La: 0.114 0.228 0.735
La: 0.117 0.234 0.315
La: 0.886 0.772 0.235
La: 0.883 0.766 0.815
Nd: 0.705 0.411 0.203
Nd: 0.278 0.556 0.313
Nd: 0.015 0.031 0.019
Nd: 0.985 0.969 0.519
Nd: 0.382 0.765 0.020
Nd: 0.295 0.589 0.703
Nd: 0.618 0.235 0.520
Nd: 0.722 0.444 0.813
Nd: 0.517 0.034 0.243
Nd: 0.483 0.966 0.743
Tm: 0.200 0.399 0.010
Tm: 0.800 0.601 0.510
Tb: 0.407 0.814 0.464
Tb: 0.593 0.186 0.964

Summary:
Size of the total moment, μB/cell: 0.00
D(E_F), states/eV per cell: 25.30
Total DFT energy (no corrections), eV/atom: -4.6314
Symmetry: Cmc2_1

The following is a DFT calculation (GGA-PBE) of a relaxed structure of LaTb2NdTm2.

Cell: 3.573 16.074 7.003 Å, 90.00 90.00 90.00°
Atoms (fractional coordinates):
Tb: 0.500 0.840 0.251
Tb: 0.000 0.660 0.751
Tb: 0.500 0.160 0.749
Tb: 0.000 0.340 0.249
Tm: 0.500 0.843 0.751
Tm: 0.000 0.657 0.251
Tm: 0.500 0.157 0.249
Tm: 0.000 0.343 0.749
Nd: 0.000 0.000 0.500
Nd: 0.500 0.500 0.000
La: 0.500 0.500 0.500
La: 0.000 0.000 0.000

Summary:
Size of the total moment, μB/cell: 0.01
D(E_F), states/eV per cell: 19.48
Total DFT energy (no corrections), eV/atom: -4.4723
Symmetry: Pnnm

What did the first record say?
The following is a DFT calculation (GGA-PBE) of a relaxed structure of LaTb2Nd4Tm2.

Cell: 5.113 8.095 8.089 Å, 107.25 90.00 108.41°
Atoms (fractional coordinates):
Nd: 0.223 0.446 0.330
Nd: 0.555 0.110 0.333
Nd: 0.445 0.890 0.667
Nd: 0.777 0.554 0.670
La: 0.000 0.000 0.000
Tm: 0.331 0.662 0.002
Tm: 0.669 0.338 0.998
Tb: 0.888 0.777 0.333
Tb: 0.112 0.223 0.667

Summary:
Size of the total moment, μB/cell: 0.00
D(E_F), states/eV per cell: 13.59
Total DFT energy (no corrections), eV/atom: -4.6663
Symmetry: C2/m